No. 1
# AcAl2IO8

A relaxed structure of AcAl2IO8 (PBE, Alexandria via LeMat-Bulk).

abc: 7.556 5.965 7.056
angles: 90.00 104.79 90.00
Space group C2/m (No. 12)
Symmetry-distinct sites (fractional):
1 Ac 0.000 0.000 0.000 (multiplicity 2)
2 Al 0.053 0.500 0.216 (multiplicity 4)
3 I 0.000 0.000 0.500 (multiplicity 2)
4 O 0.016 0.223 0.704 (multiplicity 8)
5 O 0.160 0.500 0.009 (multiplicity 4)
6 O 0.249 0.500 0.446 (multiplicity 4)

## Properties
- DFT total energy (eV/f.u.) = -75.854
- uncorrected formation energy (kJ/mol of formula units) = -2223
- spin magnetization (μB/cell) = 0.0
- mass density (g/cm3) = 5.79

No. 2
# PmYCoCu

A relaxed structure of PmYCoCu (PBE, Alexandria via LeMat-Bulk).

abc: 4.246 3.859 10.462
angles: 90.00 90.00 90.00
Space group Amm2 (No. 38)
Symmetry-distinct sites (fractional):
1 Pm 0.000 0.000 0.000 (multiplicity 2)
2 Y 0.500 0.000 0.721 (multiplicity 2)
3 Co 0.500 0.000 0.429 (multiplicity 2)
4 Cu 0.000 0.000 0.292 (multiplicity 2)

## Properties
- DFT total energy (eV/f.u.) = -23.090
- energy relative to the elements (eV per atom) = -0.168
- excess energy over the best structure of this formula in the dataset (kJ/mol of formula units) = 0
- spin magnetization (μB/cell) = 0.0
- mass density (g/cm3) = 6.91